VASP calculation (PBE) on crystalline Be17Cu2 at its relaxed geometry.

Results
The value obtained for the energy of formation is 0.0637 eV/atom.

```
data_Be17Cu2
_chemical_formula_sum 'Be17 Cu2'
_symmetry_space_group_name_H-M 'P 1'
_symmetry_Int_Tables_number 1
_symmetry_space_group_name_Hall 'P 1'
_cell_length_a 5.5360
_cell_length_b 5.5360
_cell_length_c 5.5360
_cell_angle_alpha 81.01
_cell_angle_beta 81.01
_cell_angle_gamma 81.01
loop_
_atom_site_label
_atom_site_type_symbol
_atom_site_fract_x
_atom_site_fract_y
_atom_site_fract_z
Be1 Be 0.0000 0.0000 0.5000
Be2 Be 0.0000 0.3141 0.6859
Be3 Be 0.0000 0.5000 0.0000
Be4 Be 0.0000 0.6859 0.3141
Be5 Be 0.0973 0.0973 0.0973
Be6 Be 0.1628 0.6644 0.6644
Be7 Be 0.3141 0.0000 0.6859
Be8 Be 0.3141 0.6859 0.0000
Be9 Be 0.3356 0.3356 0.8372
Be10 Be 0.3356 0.8372 0.3356
Be11 Be 0.5000 0.0000 0.0000
Be12 Be 0.6644 0.1628 0.6644
Be13 Be 0.6644 0.6644 0.1628
Be14 Be 0.6859 0.0000 0.3141
Be15 Be 0.6859 0.3141 0.0000
Be16 Be 0.8372 0.3356 0.3356
Be17 Be 0.9027 0.9027 0.9027
Cu1 Cu 0.3134 0.3134 0.3134
Cu2 Cu 0.6866 0.6866 0.6866
```